[1]
DFT (PBE) results for crystalline DyLuTa at its relaxed geometry.

Cell and atoms, written as CIF:
```
data_DyLuTa
_chemical_formula_sum 'Dy4 Lu4 Ta4'
_cell_length_a 7.015
_cell_length_b 7.015
_cell_length_c 7.015
_cell_angle_alpha 90.00
_cell_angle_beta 90.00
_cell_angle_gamma 90.00
_space_group_name_H-M_alt 'F -4 3 m'
_space_group_IT_number 216
_space_group_name_Hall 'F -4 2 3'
loop_
_atom_site_label
_atom_site_fract_x
_atom_site_fract_y
_atom_site_fract_z
Dy1 0.000 0.000 0.000
Lu1 0.250 0.250 0.250
Ta1 0.000 0.000 0.500
```

Output
E (eV per atom): -5.727
Crystal system: cubic

---

[2]
DFT (PBE) results for crystalline Zr3Cd3AgF20 at its relaxed geometry.

Cell and atoms, written as CIF:
```
data_Zr3Cd3AgF20
_chemical_formula_sum 'Zr6 Cd6 Ag2 F40'
_cell_length_a 10.4549
_cell_length_b 10.4549
_cell_length_c 8.2681
_cell_angle_alpha 90.00
_cell_angle_beta 90.00
_cell_angle_gamma 120.00
_space_group_name_H-M_alt 'P 63/m'
_space_group_IT_number 176
_space_group_name_Hall '-P 6c'
loop_
_atom_site_label
_atom_site_fract_x
_atom_site_fract_y
_atom_site_fract_z
Zr1 0.1348 0.4132 0.2500
Cd1 0.1631 0.4338 0.7500
Ag1 0.0000 0.0000 0.2500
F1 0.0000 0.0000 0.0000
F2 0.0392 0.8045 0.7500
F3 0.0542 0.7799 0.2500
F4 0.0648 0.5888 0.7500
F5 0.1348 0.4257 0.0090
F6 0.1811 0.6347 0.2500
F7 0.3333 0.6667 0.7500
```

Output
E (eV per atom): -5.430
Crystal system: hexagonal

---

[3]
DFT (PBE) results for crystalline NbCuTcSn at its relaxed geometry.

Cell and atoms, written as CIF:
```
data_NbCuTcSn
_chemical_formula_sum 'Nb4 Cu4 Tc4 Sn4'
_cell_length_a 6.400
_cell_length_b 6.400
_cell_length_c 6.400
_cell_angle_alpha 90.00
_cell_angle_beta 90.00
_cell_angle_gamma 90.00
_space_group_name_H-M_alt 'F -4 3 m'
_space_group_IT_number 216
_space_group_name_Hall 'F -4 2 3'
loop_
_atom_site_label
_atom_site_fract_x
_atom_site_fract_y
_atom_site_fract_z
Nb1 0.000 0.000 0.000
Cu1 0.250 0.250 0.750
Tc1 0.250 0.250 0.250
Sn1 0.000 0.000 0.500
```

Output
Energy relative to the lowest polymorph listed for this composition (meV/atom): 0.0
Crystal system: cubic

---

[4]
DFT (PBE) results for crystalline LaNdCI at its relaxed geometry.

Cell and atoms, written as CIF:
```
data_LaNdCI
_chemical_formula_sum 'La2 Nd2 C2 I2'
_cell_length_a 3.9181
_cell_length_b 3.9181
_cell_length_c 15.8001
_cell_angle_alpha 90.00
_cell_angle_beta 90.00
_cell_angle_gamma 120.00
_space_group_name_H-M_alt 'P -3 m 1'
_space_group_IT_number 164
_space_group_name_Hall '-P 3 2"'
loop_
_atom_site_label
_atom_site_fract_x
_atom_site_fract_y
_atom_site_fract_z
La1 0.3333 0.6667 0.0891
Nd1 0.3333 0.6667 0.4145
C1 0.0000 0.0000 0.0000
C2 0.0000 0.0000 0.5000
I1 0.3333 0.6667 0.7438
```

Output
E (eV per atom): -5.828
Crystal system: trigonal

---

[5]
DFT (PBE) results for crystalline PrTeNO at its relaxed geometry.

Cell and atoms, written as CIF:
```
data_PrTeNO
_chemical_formula_sum 'Pr2 Te2 N2 O2'
_cell_length_a 4.184
_cell_length_b 6.199
_cell_length_c 6.685
_cell_angle_alpha 90.00
_cell_angle_beta 90.00
_cell_angle_gamma 90.00
_space_group_name_H-M_alt 'P m c 21'
_space_group_IT_number 26
loop_
_space_group_symop_operation_xyz
'x,y,z'
'-x,-y,z+1/2'
'-x,y,z'
'x,-y,z+1/2'
loop_
_atom_site_label
_atom_site_fract_x
_atom_site_fract_y
_atom_site_fract_z
Pr1 0.000 0.204 0.000
Te1 0.500 0.335 0.407
N1 0.500 0.396 0.074
O1 0.000 0.084 0.692
```

Output
Energy relative to the lowest polymorph listed for this composition (meV/atom): 390.6
Crystal system: orthorhombic

---

[6]
DFT (PBE) results for crystalline Na2MgPdS4 at its relaxed geometry.

Cell and atoms, written as CIF:
```
data_Na2MgPdS4
_chemical_formula_sum 'Na4 Mg2 Pd2 S8'
_cell_length_a 9.576
_cell_length_b 7.744
_cell_length_c 6.782
_cell_angle_alpha 90.00
_cell_angle_beta 134.86
_cell_angle_gamma 90.00
_space_group_name_H-M_alt 'C 1 2 1'
_space_group_IT_number 5
loop_
_space_group_symop_operation_xyz
'x,y,z'
'-x,y,-z'
'x+1/2,y+1/2,z'
'-x+1/2,y+1/2,-z'
loop_
_atom_site_label
_atom_site_fract_x
_atom_site_fract_y
_atom_site_fract_z
Na1 0.000 0.000 0.000
Na2 0.000 0.250 0.500
Mg1 0.000 0.751 0.500
Pd1 0.000 0.500 0.000
S1 0.197 0.597 0.944
S2 0.247 0.907 0.549
```

Output
E (eV per atom): -3.857
Crystal system: monoclinic

---

[7]
DFT (PBE) results for crystalline MgZnSO at its relaxed geometry.

Cell and atoms, written as CIF:
```
data_MgZnSO
_chemical_formula_sum 'Mg4 Zn4 S4 O4'
_cell_length_a 5.454
_cell_length_b 3.485
_cell_length_c 12.733
_cell_angle_alpha 90.00
_cell_angle_beta 90.00
_cell_angle_gamma 90.00
_space_group_name_H-M_alt 'P n m a'
_space_group_IT_number 62
loop_
_space_group_symop_operation_xyz
'x,y,z'
'-x,-y,-z'
'-x+1/2,-y,z+1/2'
'x+1/2,y,-z+1/2'
'x+1/2,-y+1/2,-z+1/2'
'-x+1/2,y+1/2,z+1/2'
'-x,y+1/2,-z'
'x,-y+1/2,z'
loop_
_atom_site_label
_atom_site_fract_x
_atom_site_fract_y
_atom_site_fract_z
Mg1 0.232 0.250 0.091
Zn1 0.147 0.750 0.314
S1 0.236 0.750 0.925
O1 0.221 0.250 0.672
```

Output
Energy relative to the lowest polymorph listed for this composition (meV/atom): 89.6
Crystal system: orthorhombic

---

[8]
DFT (PBE) results for crystalline Nb6C5 at its relaxed geometry.

Cell and atoms, written as CIF:
```
data_Nb6C5
_chemical_formula_sum 'Nb12 C10'
_cell_length_a 5.511
_cell_length_b 9.523
_cell_length_c 5.504
_cell_angle_alpha 90.00
_cell_angle_beta 109.64
_cell_angle_gamma 90.00
_space_group_name_H-M_alt 'C 1 2/m 1'
_space_group_IT_number 12
loop_
_space_group_symop_operation_xyz
'x,y,z'
'-x,-y,-z'
'-x,y,-z'
'x,-y,z'
'x+1/2,y+1/2,z'
'-x+1/2,-y+1/2,-z'
'-x+1/2,y+1/2,-z'
'x+1/2,-y+1/2,z'
loop_
_atom_site_label
_atom_site_fract_x
_atom_site_fract_y
_atom_site_fract_z
Nb1 0.236 0.000 0.264
Nb2 0.242 0.177 0.747
C1 0.000 0.000 0.500
C2 0.000 0.164 0.000
C3 0.000 0.333 0.500
```

Output
E (eV per atom): -10.250
Crystal system: monoclinic

---

[9]
DFT (PBE) results for crystalline LiYZnTe3 at its relaxed geometry.

Cell and atoms, written as CIF:
```
data_LiYZnTe3
_chemical_formula_sum 'Li4 Y4 Zn4 Te12'
_cell_length_a 11.475
_cell_length_b 4.218
_cell_length_c 14.307
_cell_angle_alpha 90.00
_cell_angle_beta 90.00
_cell_angle_gamma 90.00
_space_group_name_H-M_alt 'P n m a'
_space_group_IT_number 62
loop_
_space_group_symop_operation_xyz
'x,y,z'
'-x,-y,-z'
'-x+1/2,-y,z+1/2'
'x+1/2,y,-z+1/2'
'x+1/2,-y+1/2,-z+1/2'
'-x+1/2,y+1/2,z+1/2'
'-x,y+1/2,-z'
'x,-y+1/2,z'
loop_
_atom_site_label
_atom_site_fract_x
_atom_site_fract_y
_atom_site_fract_z
Li1 0.249 0.250 0.046
Y1 0.000 0.250 0.250
Zn1 0.250 0.250 0.727
Te1 0.072 0.750 0.106
Te2 0.074 0.250 0.606
Te3 0.250 0.250 0.344
```

Output
Energy relative to the lowest polymorph listed for this composition (meV/atom): 20.8
Crystal system: orthorhombic

---

[10]
DFT (PBE) results for crystalline DyHgSO at its relaxed geometry.

Cell and atoms, written as CIF:
```
data_DyHgSO
_chemical_formula_sum 'Dy4 Hg4 S4 O4'
_cell_length_a 8.097
_cell_length_b 7.167
_cell_length_c 6.626
_cell_angle_alpha 90.00
_cell_angle_beta 91.22
_cell_angle_gamma 90.00
_space_group_name_H-M_alt 'P 1 21/c 1'
_space_group_IT_number 14
loop_
_space_group_symop_operation_xyz
'x,y,z'
'-x,-y,-z'
'-x,y+1/2,-z+1/2'
'x,-y+1/2,z+1/2'
loop_
_atom_site_label
_atom_site_fract_x
_atom_site_fract_y
_atom_site_fract_z
Dy1 0.021 0.140 0.203
Hg1 0.391 0.633 0.481
S1 0.209 0.598 0.954
O1 0.104 0.125 0.898
```

Output
Energy relative to the lowest polymorph listed for this composition (meV/atom): 25.9
Crystal system: monoclinic

---

[11]
DFT (PBE) results for crystalline NbFeSi at its relaxed geometry.

Cell and atoms, written as CIF:
```
data_NbFeSi
_chemical_formula_sum 'Nb4 Fe4 Si4'
_cell_length_a 3.585
_cell_length_b 8.818
_cell_length_c 5.018
_cell_angle_alpha 90.00
_cell_angle_beta 90.00
_cell_angle_gamma 90.00
_space_group_name_H-M_alt 'C m c m'
_space_group_IT_number 63
_space_group_name_Hall '-C 2c 2'
loop_
_atom_site_label
_atom_site_fract_x
_atom_site_fract_y
_atom_site_fract_z
Nb1 0.000 0.208 0.250
Fe1 0.000 0.500 0.000
Si1 0.000 0.085 0.750
```

Output
E (eV per atom): -8.481
Crystal system: orthorhombic

---

[12]
DFT (PBE) results for crystalline Hf2TaNbGe2 at its relaxed geometry.

Cell and atoms, written as CIF:
```
data_Hf2TaNbGe2
_chemical_formula_sum 'Hf4 Ta2 Nb2 Ge4'
_cell_length_a 3.855
_cell_length_b 3.878
_cell_length_c 14.793
_cell_angle_alpha 90.00
_cell_angle_beta 90.00
_cell_angle_gamma 90.00
_space_group_name_H-M_alt 'I m m m'
_space_group_IT_number 71
_space_group_name_Hall '-I 2 2'
loop_
_atom_site_label
_atom_site_fract_x
_atom_site_fract_y
_atom_site_fract_z
Hf1 0.000 0.000 0.177
Ta1 0.000 0.500 0.000
Nb1 0.000 0.500 0.500
Ge1 0.000 0.000 0.364
```

Output
E (eV per atom): -9.107
Crystal system: orthorhombic

---

[13]
DFT (PBE) results for crystalline BaMg2Pt2 at its relaxed geometry.

Cell and atoms, written as CIF:
```
data_BaMg2Pt2
_chemical_formula_sum 'Ba2 Mg4 Pt4'
_cell_length_a 4.413
_cell_length_b 4.413
_cell_length_c 11.817
_cell_angle_alpha 90.00
_cell_angle_beta 90.00
_cell_angle_gamma 90.00
_space_group_name_H-M_alt 'I 4/m m m'
_space_group_IT_number 139
_space_group_name_Hall '-I 4 2'
loop_
_atom_site_label
_atom_site_fract_x
_atom_site_fract_y
_atom_site_fract_z
Ba1 0.000 0.000 0.000
Mg1 0.000 0.500 0.250
Pt1 0.000 0.000 0.384
```

Output
E (eV per atom): -4.192
Crystal system: tetragonal

---

[14]
DFT (PBE) results for crystalline LiInAgAu at its relaxed geometry.

Cell and atoms, written as CIF:
```
data_LiInAgAu
_chemical_formula_sum 'Li2 In2 Ag2 Au2'
_cell_length_a 4.616
_cell_length_b 4.616
_cell_length_c 6.794
_cell_angle_alpha 90.00
_cell_angle_beta 90.00
_cell_angle_gamma 90.00
_space_group_name_H-M_alt 'I -4 m 2'
_space_group_IT_number 119
_space_group_name_Hall 'I -4 -2'
loop_
_atom_site_label
_atom_site_fract_x
_atom_site_fract_y
_atom_site_fract_z
Li1 0.000 0.000 0.000
In1 0.000 0.000 0.500
Ag1 0.000 0.500 0.750
Au1 0.000 0.500 0.250
```

Output
E (eV per atom): -3.023
Crystal system: tetragonal

---

[15]
DFT (PBE) results for crystalline InNiAgPt at its relaxed geometry.

Cell and atoms, written as CIF:
```
data_InNiAgPt
_chemical_formula_sum 'In4 Ni4 Ag4 Pt4'
_cell_length_a 6.377
_cell_length_b 6.377
_cell_length_c 6.377
_cell_angle_alpha 90.00
_cell_angle_beta 90.00
_cell_angle_gamma 90.00
_space_group_name_H-M_alt 'F -4 3 m'
_space_group_IT_number 216
_space_group_name_Hall 'F -4 2 3'
loop_
_atom_site_label
_atom_site_fract_x
_atom_site_fract_y
_atom_site_fract_z
In1 0.000 0.000 0.000
Ni1 0.250 0.250 0.250
Ag1 0.000 0.000 0.500
Pt1 0.250 0.250 0.750
```

Output
E (eV per atom): -4.417
Crystal system: cubic

---

[16]
DFT (PBE) results for crystalline ScFeBPt at its relaxed geometry.

Cell and atoms, written as CIF:
```
data_ScFeBPt
_chemical_formula_sum 'Sc4 Fe4 B4 Pt4'
_cell_length_a 5.870
_cell_length_b 5.870
_cell_length_c 5.870
_cell_angle_alpha 90.00
_cell_angle_beta 90.00
_cell_angle_gamma 90.00
_space_group_name_H-M_alt 'F -4 3 m'
_space_group_IT_number 216
_space_group_name_Hall 'F -4 2 3'
loop_
_atom_site_label
_atom_site_fract_x
_atom_site_fract_y
_atom_site_fract_z
Sc1 0.000 0.000 0.000
Fe1 0.250 0.250 0.750
B1 0.000 0.000 0.500
Pt1 0.250 0.250 0.250
```

Output
Energy relative to the lowest polymorph listed for this composition (meV/atom): 0.0
Crystal system: cubic

---

[17]
DFT (PBE) results for crystalline YLuIn2 at its relaxed geometry.

Cell and atoms, written as CIF:
```
data_YLuIn2
_chemical_formula_sum 'Y4 Lu4 In8'
_cell_length_a 7.548
_cell_length_b 7.548
_cell_length_c 7.548
_cell_angle_alpha 90.00
_cell_angle_beta 90.00
_cell_angle_gamma 90.00
_space_group_name_H-M_alt 'F -4 3 m'
_space_group_IT_number 216
_space_group_name_Hall 'F -4 2 3'
loop_
_atom_site_label
_atom_site_fract_x
_atom_site_fract_y
_atom_site_fract_z
Y1 0.000 0.000 0.000
Lu1 0.250 0.250 0.250
In1 0.000 0.000 0.500
In2 0.250 0.250 0.750
```

Output
E (eV per atom): -4.109
Crystal system: cubic

---

[18]
DFT (PBE) results for crystalline SrHoTm at its relaxed geometry.

Cell and atoms, written as CIF:
```
data_SrHoTm
_chemical_formula_sum 'Sr4 Ho4 Tm4'
_cell_length_a 8.055
_cell_length_b 8.055
_cell_length_c 8.055
_cell_angle_alpha 90.00
_cell_angle_beta 90.00
_cell_angle_gamma 90.00
_space_group_name_H-M_alt 'F -4 3 m'
_space_group_IT_number 216
_space_group_name_Hall 'F -4 2 3'
loop_
_atom_site_label
_atom_site_fract_x
_atom_site_fract_y
_atom_site_fract_z
Sr1 0.000 0.000 0.000
Ho1 0.000 0.000 0.500
Tm1 0.250 0.250 0.750
```

Output
Energy relative to the lowest polymorph listed for this composition (meV/atom): 0.0
Crystal system: cubic

---

[19]
DFT (PBE) results for crystalline NbFeAs at its relaxed geometry.

Cell and atoms, written as CIF:
```
data_NbFeAs
_chemical_formula_sum 'Nb3 Fe3 As3'
_cell_length_a 6.4110
_cell_length_b 6.4110
_cell_length_c 3.6508
_cell_angle_alpha 90.00
_cell_angle_beta 90.00
_cell_angle_gamma 120.00
_space_group_name_H-M_alt 'P -6 2 m'
_space_group_IT_number 189
_space_group_name_Hall 'P -6 -2'
loop_
_atom_site_label
_atom_site_fract_x
_atom_site_fract_y
_atom_site_fract_z
Nb1 0.0000 0.6082 0.0000
Fe1 0.0000 0.0000 0.0000
Fe2 0.3333 0.6667 0.5000
As1 0.0000 0.2774 0.5000
```

Output
E (eV per atom): -7.955
Crystal system: hexagonal

---

[20]
DFT (PBE) results for crystalline AgAsPO at its relaxed geometry.

Cell and atoms, written as CIF:
```
data_AgAsPO
_chemical_formula_sum 'Ag2 As2 P2 O2'
_cell_length_a 4.374
_cell_length_b 4.374
_cell_length_c 7.678
_cell_angle_alpha 90.00
_cell_angle_beta 90.00
_cell_angle_gamma 90.00
_space_group_name_H-M_alt 'P 4/n m m'
_space_group_IT_number 129
loop_
_space_group_symop_operation_xyz
'x,y,z'
'-x,-y,-z'
'-y+1/2,x,z'
'y+1/2,-x,-z'
'-x+1/2,-y+1/2,z'
'x+1/2,y+1/2,-z'
'y,-x+1/2,z'
'-y,x+1/2,-z'
'x+1/2,-y,-z'
'-x+1/2,y,z'
'-y,-x,-z'
'y,x,z'
'-x,y+1/2,-z'
'x,-y+1/2,z'
'y+1/2,x+1/2,-z'
'-y+1/2,-x+1/2,z'
loop_
_atom_site_label
_atom_site_fract_x
_atom_site_fract_y
_atom_site_fract_z
Ag1 0.250 0.250 0.038
As1 0.250 0.750 0.500
P1 0.250 0.250 0.649
O1 0.250 0.750 0.000
```

Output
Energy relative to the lowest polymorph listed for this composition (meV/atom): 416.5
Crystal system: tetragonal

---

[21]
DFT (PBE) results for crystalline Y2Ta4Ni3C3 at its relaxed geometry.

Cell and atoms, written as CIF:
```
data_Y2Ta4Ni3C3
_chemical_formula_sum 'Y8 Ta16 Ni12 C12'
_cell_length_a 9.540
_cell_length_b 5.511
_cell_length_c 13.731
_cell_angle_alpha 90.00
_cell_angle_beta 103.98
_cell_angle_gamma 90.00
_space_group_name_H-M_alt 'C 1 2/c 1'
_space_group_IT_number 15
loop_
_space_group_symop_operation_xyz
'x,y,z'
'-x,-y,-z'
'-x,y,-z+1/2'
'x,-y,z+1/2'
'x+1/2,y+1/2,z'
'-x+1/2,-y+1/2,-z'
'-x+1/2,y+1/2,-z+1/2'
'x+1/2,-y+1/2,z+1/2'
loop_
_atom_site_label
_atom_site_fract_x
_atom_site_fract_y
_atom_site_fract_z
Y1 0.038 0.082 0.375
Ta1 0.113 0.407 0.588
Ta2 0.225 0.421 0.912
Ni1 0.000 0.419 0.750
Ni2 0.247 0.160 0.750
C1 0.087 0.260 0.000
C2 0.250 0.250 0.500
```

Output
E (eV per atom): -9.194
Crystal system: monoclinic